This record from Alexandria via LeMat-Bulk describes crystalline HfCdMoO6 at its relaxed geometry. The functional is GGA+U.

## Properties
Final energy   -7.3798 eV/atom
Space-group type   P4_2nm (102)

Lattice parameters (Å, degrees): 4.929 4.929 9.603 90.00 90.00 90.00
Positions (direct):
Hf: 0.000 0.000 0.000
Hf: 0.500 0.500 0.500
Cd: 0.000 0.000 0.330
Cd: 0.500 0.500 0.830
Mo: 0.000 0.000 0.664
Mo: 0.500 0.500 0.164
O: 0.178 0.178 0.823
O: 0.205 0.205 0.527
O: 0.222 0.222 0.148
O: 0.278 0.722 0.648
O: 0.295 0.705 0.027
O: 0.322 0.678 0.323
O: 0.678 0.322 0.323
O: 0.705 0.295 0.027
O: 0.722 0.278 0.648
O: 0.778 0.778 0.148
O: 0.795 0.795 0.527
O: 0.822 0.822 0.823